! PBE CeScSn, relaxed; values from VASP
&SYSTEM
  ibrav = 0, nat = 3, ntyp = 3
/
ATOMIC_SPECIES
Sc 44.96 Sc.upf
Sn 118.71 Sn.upf
Ce 140.12 Ce.upf
CELL_PARAMETERS angstrom
3.3880 0.0000 0.0000
0.0000 3.3880 0.0000
-1.6940 -1.6940 6.8738
ATOMIC_POSITIONS crystal
Sc 0.6809 0.6809 0.3618
Sn 0.3250 0.3250 0.6500
Ce 0.9941 0.9941 0.9882
! - Fermi-level density of states (states/eV/atom) = 1.750
! - symmetry = I4mm, No. 107
! - V (Å³/atom) = 26.30
! - DFT formation energy (eV per atom) = -0.32
! - offset from the most stable computed form (kJ per mole of atoms) = 25.2

! PBE MgSc2Tc, relaxed; values from VASP
&SYSTEM
  ibrav = 0, nat = 4, ntyp = 3
/
ATOMIC_SPECIES
Mg 24.30 Mg.upf
Sc 44.96 Sc.upf
Tc 98.00 Tc.upf
CELL_PARAMETERS angstrom
5.6831 0.0298 0.0250
4.6237 3.3045 0.0250
1.9462 0.6296 4.2857
ATOMIC_POSITIONS crystal
Mg 0.2203 0.2203 0.2790
Sc 0.9978 0.9978 0.0025
Sc 0.7860 0.7860 0.7133
Tc 0.4959 0.4959 0.5052
! - Fermi-level density of states (states/eV/atom) = 1.122
! - symmetry = Cm, No. 8
! - V (Å³/atom) = 19.93
! - DFT formation energy (eV per atom) = -0.01

! PBE Ce3SmHo3Te8, relaxed; values from VASP
&SYSTEM
  ibrav = 0, nat = 15, ntyp = 4
/
ATOMIC_SPECIES
Ce 140.12 Ce.upf
Sm 150.36 Sm.upf
Ho 164.93 Ho.upf
Te 127.60 Te.upf
CELL_PARAMETERS angstrom
-0.8004 -3.9782 7.7814
-5.8125 -1.6169 -6.3730
8.2629 -3.0636 -0.7166
ATOMIC_POSITIONS crystal
Ce 0.0000 0.0000 0.0000
Ce 0.0000 0.5000 0.0000
Ce 0.5000 0.5000 0.0000
Sm 0.0000 0.0000 0.5000
Ho 0.5000 0.0000 0.5000
Ho 0.5000 0.5000 0.5000
Ho 0.0000 0.5000 0.5000
Te 0.2540 0.5081 0.2623
Te 0.7460 0.4919 0.7377
Te 0.7439 0.4878 0.2525
Te 0.2561 0.5122 0.7475
Te 0.7440 0.0086 0.2525
Te 0.2560 0.9914 0.7475
Te 0.2646 0.0085 0.2525
Te 0.7354 0.9915 0.7475
! - formation energy without anion corrections (eV/f.u.) = -20.70
! - Fermi-level density of states (states/eV/atom) = 1.576
! - symmetry = R-3m, No. 166
! - V (Å³/atom) = 32.22

! PBE Ac4GeTe2Se, relaxed; values from VASP
&SYSTEM
  ibrav = 0, nat = 8, ntyp = 4
/
ATOMIC_SPECIES
Ac 227.00 Ac.upf
Ge 72.64 Ge.upf
Te 127.60 Te.upf
Se 78.96 Se.upf
CELL_PARAMETERS angstrom
-0.4111 3.4105 3.0965
-1.2318 -5.3685 5.7494
8.0260 1.5066 -0.5940
ATOMIC_POSITIONS crystal
Ac 0.5000 0.2363 0.2247
Ac 0.5000 0.7637 0.7753
Ac 0.0000 0.2512 0.7734
Ac 0.0000 0.7488 0.2266
Ge 0.0000 0.0000 0.0000
Te 0.5000 0.0000 0.5000
Te 0.0000 0.5000 0.5000
Se 0.5000 0.5000 0.0000
! - formation energy without anion corrections (eV/f.u.) = -11.87
! - Fermi-level density of states (states/eV/atom) = 0.419
! - symmetry = P2/m, No. 10
! - V (Å³/atom) = 35.60

! PBE K2CaPbI6, relaxed; values from VASP
&SYSTEM
  ibrav = 0, nat = 20, ntyp = 4
/
ATOMIC_SPECIES
K 39.10 K.upf
Ca 40.08 Ca.upf
Pb 207.20 Pb.upf
I 126.90 I.upf
CELL_PARAMETERS angstrom
8.2912 0.0000 -0.0253
0.0000 8.8351 0.0000
0.0364 0.0000 12.0598
ATOMIC_POSITIONS crystal
K 0.0359 0.9091 0.2495
K 0.5359 0.5909 0.7495
K 0.9641 0.0909 0.7505
K 0.4641 0.4091 0.2505
Ca 0.5000 0.0000 0.5000
Ca 0.0000 0.5000 0.0000
Pb 0.5000 0.0000 0.0000
Pb 0.0000 0.5000 0.5000
I 0.3097 0.6885 0.0613
I 0.8097 0.8115 0.5613
I 0.6903 0.3115 0.9387
I 0.1903 0.1885 0.4387
I 0.3189 0.6967 0.4374
I 0.8189 0.8033 0.9374
I 0.6811 0.3033 0.5626
I 0.1811 0.1967 0.0626
I 0.8743 0.5355 0.2456
I 0.3743 0.9645 0.7456
I 0.1257 0.4645 0.7544
I 0.6257 0.0355 0.2544
! - formation energy without anion corrections (eV/f.u.) = -12.61
! - Fermi-level density of states (states/eV/atom) = 0.000
! - symmetry = P2_1/c, No. 14
! - V (Å³/atom) = 44.17

! PBE Be2Tl2P, relaxed; values from VASP
&SYSTEM
  ibrav = 0, nat = 10, ntyp = 3
/
ATOMIC_SPECIES
P 30.97 P.upf
Tl 204.38 Tl.upf
Be 9.01 Be.upf
CELL_PARAMETERS angstrom
-5.2260 -2.2838 -1.8874
1.6370 -5.4154 2.0204
-2.2221 1.1188 4.7990
ATOMIC_POSITIONS crystal
P 0.0000 0.0000 0.0000
P 0.5000 0.5000 0.0000
Tl 0.1809 0.6809 0.5000
Tl 0.6809 0.8191 0.5000
Tl 0.8191 0.3191 0.5000
Tl 0.3191 0.1809 0.5000
Be 0.3676 0.8676 0.0000
Be 0.8676 0.6324 0.0000
Be 0.6324 0.1324 0.0000
Be 0.1324 0.3676 0.0000
! - Fermi-level density of states (states/eV/atom) = 0.298
! - symmetry = P4/mbm, No. 127
! - V (Å³/atom) = 19.51
! - DFT formation energy (eV per atom) = 0.44
! - offset from the most stable computed form (kJ per mole of atoms) = 0.0

Repeat the third record exactly.
! PBE Ce3SmHo3Te8, relaxed; values from VASP
&SYSTEM
  ibrav = 0, nat = 15, ntyp = 4
/
ATOMIC_SPECIES
Ce 140.12 Ce.upf
Sm 150.36 Sm.upf
Ho 164.93 Ho.upf
Te 127.60 Te.upf
CELL_PARAMETERS angstrom
-0.8004 -3.9782 7.7814
-5.8125 -1.6169 -6.3730
8.2629 -3.0636 -0.7166
ATOMIC_POSITIONS crystal
Ce 0.0000 0.0000 0.0000
Ce 0.0000 0.5000 0.0000
Ce 0.5000 0.5000 0.0000
Sm 0.0000 0.0000 0.5000
Ho 0.5000 0.0000 0.5000
Ho 0.5000 0.5000 0.5000
Ho 0.0000 0.5000 0.5000
Te 0.2540 0.5081 0.2623
Te 0.7460 0.4919 0.7377
Te 0.7439 0.4878 0.2525
Te 0.2561 0.5122 0.7475
Te 0.7440 0.0086 0.2525
Te 0.2560 0.9914 0.7475
Te 0.2646 0.0085 0.2525
Te 0.7354 0.9915 0.7475
! - formation energy without anion corrections (eV/f.u.) = -20.70
! - Fermi-level density of states (states/eV/atom) = 1.576
! - symmetry = R-3m, No. 166
! - V (Å³/atom) = 32.22

V of number 2 (MgSc2Tc)?
19.93 Å³/atom

Among the records above, which one has the highest V?
K2CaPbI6

Please write out number 5 again, unchanged.
! PBE K2CaPbI6, relaxed; values from VASP
&SYSTEM
  ibrav = 0, nat = 20, ntyp = 4
/
ATOMIC_SPECIES
K 39.10 K.upf
Ca 40.08 Ca.upf
Pb 207.20 Pb.upf
I 126.90 I.upf
CELL_PARAMETERS angstrom
8.2912 0.0000 -0.0253
0.0000 8.8351 0.0000
0.0364 0.0000 12.0598
ATOMIC_POSITIONS crystal
K 0.0359 0.9091 0.2495
K 0.5359 0.5909 0.7495
K 0.9641 0.0909 0.7505
K 0.4641 0.4091 0.2505
Ca 0.5000 0.0000 0.5000
Ca 0.0000 0.5000 0.0000
Pb 0.5000 0.0000 0.0000
Pb 0.0000 0.5000 0.5000
I 0.3097 0.6885 0.0613
I 0.8097 0.8115 0.5613
I 0.6903 0.3115 0.9387
I 0.1903 0.1885 0.4387
I 0.3189 0.6967 0.4374
I 0.8189 0.8033 0.9374
I 0.6811 0.3033 0.5626
I 0.1811 0.1967 0.0626
I 0.8743 0.5355 0.2456
I 0.3743 0.9645 0.7456
I 0.1257 0.4645 0.7544
I 0.6257 0.0355 0.2544
! - formation energy without anion corrections (eV/f.u.) = -12.61
! - Fermi-level density of states (states/eV/atom) = 0.000
! - symmetry = P2_1/c, No. 14
! - V (Å³/atom) = 44.17